La2Th2Cd | PBE | relaxed

Properties
Crystal system: tetragonal
N(E_F) in states/eV/f.u.: 6.40
Total moment in μB per formula unit: 0.0
Energy in eV for the cell shown: -26.24

a = 12.2835 Å, b = 12.2835 Å, c = 12.2835 Å
α = 162.91°, β = 162.91°, γ = 24.27°
Closest atoms and distances in Å follow each position.
Fractional positions:
La 0.0935 0.0935 0.0000  4 Cd 3.42, 4 Th 3.64, 4 La 3.65
La 0.9065 0.9065 0.0000  4 Cd 3.42, 4 Th 3.64, 4 La 3.65
Th 0.2996 0.2996 0.0000  8 Th 3.51-3.65, 4 La 3.64
Th 0.7004 0.7004 0.0000  8 Th 3.51-3.65, 4 La 3.64
Cd 0.5000 0.5000 0.0000  8 La 3.42, 4 Cd 3.65

***

Sc3Ta | PBE | relaxed

Properties
Crystal system: hexagonal
N(E_F) in states/eV/f.u.: 5.94
Total moment in μB per formula unit: 0.0
Distance to the lowest polymorph of the same formula in meV/atom: 18

a = 6.3716 Å, b = 6.3716 Å, c = 5.0134 Å
α = 90.00°, β = 90.00°, γ = 120.00°
Closest atoms and distances in Å follow each position.
Fractional positions:
Sc 0.1724 0.3448 0.2500  4 Ta 3.07-3.19, 8 Sc 3.08-3.30
Sc 0.1724 0.8276 0.2500  4 Ta 3.07-3.19, 8 Sc 3.08-3.30
Sc 0.3448 0.1724 0.7500  4 Ta 3.07-3.19, 8 Sc 3.08-3.30
Sc 0.6552 0.8276 0.2500  4 Ta 3.07-3.19, 8 Sc 3.08-3.30
Sc 0.8276 0.1724 0.7500  4 Ta 3.07-3.19, 8 Sc 3.08-3.30
Sc 0.8276 0.6552 0.7500  4 Ta 3.07-3.19, 8 Sc 3.08-3.30
Ta 0.3333 0.6667 0.7500  12 Sc 3.07-3.19
Ta 0.6667 0.3333 0.2500  12 Sc 3.07-3.19

***

Pr4AlSeI2 | PBE | relaxed

Properties
Crystal system: monoclinic
N(E_F) in states/eV/f.u.: 4.15
ΔE_f (raw) in eV per atom: -1.016
Total moment in μB per formula unit: 0.0

a = 7.5292 Å, b = 4.4197 Å, c = 8.2010 Å
α = 90.00°, β = 108.59°, γ = 90.00°
Closest atoms and distances in Å follow each position.
Fractional positions:
Pr 0.2352 0.0000 0.2000  1 Al 2.96, 2 Se 2.98
Pr 0.2646 0.5000 0.7937  2 Al 3.00, 1 Se 3.00
Pr 0.7354 0.5000 0.2063  2 Al 3.00, 1 Se 3.00
Pr 0.7648 0.0000 0.8000  1 Al 2.96, 2 Se 2.98
Al 0.5000 0.0000 0.0000  6 Pr 2.96-3.00
Se 0.0000 0.5000 0.0000  6 Pr 2.98-3.00
I 0.0000 0.0000 0.5000  6 Pr 3.40-3.46
I 0.5000 0.5000 0.5000  6 Pr 3.41-3.43

***

Ba2LiSb3Au4 | PBE | relaxed

Properties
Crystal system: tetragonal
N(E_F) in states/eV/f.u.: 2.22
ΔE_f (raw) in eV per atom: -0.658
Total moment in μB per formula unit: 0.0

a = 4.8303 Å, b = 4.8303 Å, c = 11.3068 Å
α = 90.00°, β = 90.00°, γ = 90.00°
Closest atoms and distances in Å follow each position.
Fractional positions:
Ba 0.0000 0.5000 0.2407  6 Sb 3.62-3.80, 8 Au 3.64-3.76, 2 Li 3.80
Ba 0.5000 0.0000 0.7593  6 Sb 3.62-3.80, 8 Au 3.64-3.76, 2 Li 3.80
Li 0.0000 0.0000 0.5000  4 Au 2.78
Sb 0.0000 0.5000 0.8660  5 Au 2.77-2.85
Sb 0.5000 0.0000 0.1340  5 Au 2.77-2.85
Sb 0.5000 0.5000 0.5000  4 Au 2.78
Au 0.0000 0.0000 0.0000  4 Sb 2.85
Au 0.0000 0.5000 0.6211  3 Sb 2.77-2.78, 2 Li 2.78
Au 0.5000 0.0000 0.3789  3 Sb 2.77-2.78, 2 Li 2.78
Au 0.5000 0.5000 0.0000  4 Sb 2.85

***

FeOs2Br | PBE | relaxed

Properties
Crystal system: monoclinic
N(E_F) in states/eV/f.u.: 4.21
ΔE_f (raw) in eV per atom: 1.105
Total moment in μB per formula unit: 3.2
Distance to the lowest polymorph of the same formula in meV/atom: 432

a = 2.9136 Å, b = 4.6804 Å, c = 4.5586 Å
α = 90.00°, β = 91.04°, γ = 90.00°
Closest atoms and distances in Å follow each position.
Fractional positions:
Fe 0.0000 0.0000 0.0000  4 Os 2.68, 4 Br 2.68-2.73, 2 Fe 2.91
Os 0.2218 0.5000 0.7555  4 Os 2.60-2.86, 2 Fe 2.68, 2 Br 2.74
Os 0.7782 0.5000 0.2445  4 Os 2.60-2.86, 2 Fe 2.68, 2 Br 2.74
Br 0.5000 0.0000 0.5000  4 Fe 2.68-2.73, 4 Os 2.74, 2 Br 2.91

***

GeBPCl2 | PBE | relaxed

Properties
Crystal system: tetragonal
N(E_F) in states/eV/f.u.: 2.94
ΔE_f (raw) in eV per atom: 1.053
Total moment in μB per formula unit: 1.0
Distance to the lowest polymorph of the same formula in meV/atom: 464

a = 4.9552 Å, b = 4.9552 Å, c = 4.8982 Å
α = 90.00°, β = 90.00°, γ = 90.00°
Closest atoms and distances in Å follow each position.
Fractional positions:
Ge 0.0000 0.0000 0.0000  2 P 2.45, 4 Cl 2.48
B 0.5000 0.5000 0.5000  8 Cl 3.48, 4 P 3.50
P 0.0000 0.0000 0.5000  2 Ge 2.45
Cl 0.0000 0.5000 0.0000  2 Ge 2.48
Cl 0.5000 0.0000 0.0000  2 Ge 2.48